1:
Density functional theory data (GGA-PBE) for a relaxed structure of PbI2Br6.

Computed properties:
Space-group type = C2/c, No. 15
Volume = 479 Å³/f.u.
ρ = 3.26 g/cm³

Cell lengths 11.373, 11.373, 7.987 Å; angles 103.71, 103.71, 76.37 degrees
Element x y z (fractional)
Pb1 0.066 0.934 0.750
Pb2 0.934 0.066 0.250
I1 0.205 0.490 0.813
I2 0.490 0.205 0.313
I3 0.510 0.795 0.687
I4 0.795 0.510 0.187
Br1 0.020 0.680 0.842
Br2 0.038 0.164 0.637
Br3 0.164 0.038 0.137
Br4 0.320 0.980 0.658
Br5 0.347 0.363 0.560
Br6 0.363 0.347 0.060
Br7 0.637 0.653 0.940
Br8 0.653 0.637 0.440
Br9 0.680 0.020 0.342
Br10 0.836 0.962 0.863
Br11 0.962 0.836 0.363
Br12 0.980 0.320 0.158

***

2:
Density functional theory data (GGA-PBE) for a relaxed structure of PbI2Br6.

Computed properties:
Space-group type = C2/c, No. 15
Volume = 389 Å³/f.u.
ρ = 4.02 g/cm³

Cell lengths 10.451, 10.451, 7.631 Å; angles 103.04, 103.04, 76.86 degrees
Element x y z (fractional)
Pb1 0.072 0.928 0.750
Pb2 0.928 0.072 0.250
I1 0.232 0.391 0.208
I2 0.391 0.232 0.708
I3 0.609 0.768 0.292
I4 0.768 0.609 0.792
Br1 0.008 0.594 0.760
Br2 0.017 0.183 0.654
Br3 0.183 0.017 0.154
Br4 0.359 0.514 0.606
Br5 0.406 0.992 0.740
Br6 0.486 0.641 0.894
Br7 0.514 0.359 0.106
Br8 0.594 0.008 0.260
Br9 0.641 0.486 0.394
Br10 0.817 0.983 0.846
Br11 0.983 0.817 0.346
Br12 0.992 0.406 0.240

***

Q: Which of them is the least stable? A: 1.

***

1:
Density functional theory data (GGA-PBE) for a relaxed structure of PbI2Br.

Computed properties:
Space-group type = I-42d, No. 122
Volume = 156 Å³/f.u.
ρ = 5.75 g/cm³

Cell lengths 7.752, 7.752, 7.752 Å; angles 99.17, 99.17, 132.95 degrees
Element x y z (fractional)
Pb1 0.000 0.000 0.000
Pb2 0.750 0.250 0.500
I1 0.089 0.625 0.964
I2 0.375 0.339 0.464
I3 0.661 0.125 0.036
I4 0.875 0.911 0.536
Br1 0.250 0.750 0.500
Br2 0.500 0.500 0.000

***

2:
Density functional theory data (GGA-PBE) for a relaxed structure of PbI2Br.

Computed properties:
Space-group type = Fm-3m, No. 225
Volume = 133 Å³/f.u.
ρ = 6.73 g/cm³

Cell lengths 5.735, 5.735, 5.735 Å; angles 60.00, 60.00, 60.00 degrees
Element x y z (fractional)
Pb1 0.000 0.000 0.000
I1 0.250 0.250 0.250
I2 0.750 0.750 0.750
Br1 0.500 0.500 0.500

***

Q: Which of them is the least stable? A: 2.

***

1:
Density functional theory data (GGA-PBE) for a relaxed structure of Pb2IBr.

Computed properties:
Space-group type = I-42d, No. 122
Volume = 143 Å³/f.u.
ρ = 7.23 g/cm³

Cell lengths 7.240, 7.240, 7.240 Å; angles 104.67, 104.67, 119.58 degrees
Element x y z (fractional)
Pb1 0.112 0.125 0.487
Pb2 0.375 0.888 0.013
Pb3 0.638 0.625 0.513
Pb4 0.875 0.362 0.987
I1 0.250 0.750 0.500
I2 0.500 0.500 0.000
Br1 0.000 0.000 0.000
Br2 0.750 0.250 0.500

***

2:
Density functional theory data (GGA-PBE) for a relaxed structure of Pb2IBr.

Computed properties:
Space-group type = Fm-3m, No. 225
Volume = 129 Å³/f.u.
ρ = 8.02 g/cm³

Cell lengths 5.666, 5.666, 5.666 Å; angles 60.00, 60.00, 60.00 degrees
Element x y z (fractional)
Pb1 0.250 0.250 0.250
Pb2 0.750 0.750 0.750
I1 0.000 0.000 0.000
Br1 0.500 0.500 0.500

***

Q: Which of them is the least stable? A: 2.

***

1:
Density functional theory data (GGA-PBE) for a relaxed structure of Pb2IBr2.

Computed properties:
Space-group type = P4/mbm, No. 127
Volume = 166 Å³/f.u.
ρ = 7.03 g/cm³

Cell lengths 8.551, 8.551, 4.530 Å; angles 90.00, 90.00, 90.00 degrees
Element x y z (fractional)
Pb1 0.144 0.356 0.000
Pb2 0.356 0.856 0.000
Pb3 0.644 0.144 0.000
Pb4 0.856 0.644 0.000
I1 0.000 0.000 0.000
I2 0.500 0.500 0.000
Br1 0.154 0.654 0.500
Br2 0.346 0.154 0.500
Br3 0.654 0.846 0.500
Br4 0.846 0.346 0.500

***

2:
Density functional theory data (GGA-PBE) for a relaxed structure of Pb2IBr2.

Computed properties:
Space-group type = I4/mmm, No. 139
Volume = 182 Å³/f.u.
ρ = 6.40 g/cm³

Cell lengths 7.538, 7.538, 7.538 Å; angles 139.07, 139.07, 59.27 degrees
Element x y z (fractional)
Pb1 0.130 0.130 0.000
Pb2 0.870 0.870 0.000
I1 0.500 0.500 0.000
Br1 0.250 0.750 0.500
Br2 0.750 0.250 0.500

***

Q: Which of them is the least stable? A: 2.

***

1:
Density functional theory data (GGA-PBE) for a relaxed structure of TePbI2Br.

Computed properties:
Space-group type = P4/mmm, No. 123
Volume = 198 Å³/f.u.
ρ = 5.61 g/cm³

Cell lengths 5.688, 5.688, 6.117 Å; angles 90.00, 90.00, 90.00 degrees
Element x y z (fractional)
Te1 0.000 0.000 0.000
Pb1 0.500 0.500 0.000
I1 0.000 0.500 0.500
I2 0.500 0.000 0.500
Br1 0.000 0.000 0.500

***

2:
Density functional theory data (GGA-PBE) for a relaxed structure of TePbI2Br.

Computed properties:
Space-group type = P4/mmm, No. 123
Volume = 238 Å³/f.u.
ρ = 4.67 g/cm³

Cell lengths 6.116, 6.116, 6.362 Å; angles 90.00, 90.00, 90.00 degrees
Element x y z (fractional)
Te1 0.000 0.000 0.000
Pb1 0.000 0.000 0.500
I1 0.000 0.500 0.500
I2 0.500 0.000 0.500
Br1 0.500 0.500 0.000

***

Q: Which of them is the least stable? A: 1.

***

1:
Density functional theory data (GGA-PBE) for a relaxed structure of TlPbI2Br.

Computed properties:
Space-group type = P4/mmm, No. 123
Volume = 237 Å³/f.u.
ρ = 5.22 g/cm³

Cell lengths 6.348, 6.348, 5.881 Å; angles 90.00, 90.00, 90.00 degrees
Element x y z (fractional)
Tl1 0.000 0.000 0.000
Pb1 0.500 0.500 0.500
I1 0.000 0.500 0.500
I2 0.500 0.000 0.500
Br1 0.500 0.500 0.000

***

2:
Density functional theory data (GGA-PBE) for a relaxed structure of TlPbI2Br.

Computed properties:
Space-group type = Cmcm, No. 63
Volume = 204 Å³/f.u.
ρ = 6.06 g/cm³

Cell lengths 8.095, 8.095, 11.312 Å; angles 90.00, 90.00, 146.54 degrees
Element x y z (fractional)
Tl1 0.229 0.771 0.750
Tl2 0.771 0.229 0.250
Pb1 0.500 0.500 0.000
Pb2 0.500 0.500 0.500
I1 0.141 0.859 0.057
I2 0.141 0.859 0.443
I3 0.859 0.141 0.557
I4 0.859 0.141 0.943
Br1 0.425 0.575 0.250
Br2 0.575 0.425 0.750

***

Q: Which of them is the least stable? A: 1.

***

1:
Density functional theory data (GGA-PBE) for a relaxed structure of Pd3IBr.

Computed properties:
Space-group type = Pm-3m, No. 221
Volume = 131 Å³/f.u.
ρ = 6.66 g/cm³

Cell lengths 5.082, 5.082, 5.082 Å; angles 90.00, 90.00, 90.00 degrees
Element x y z (fractional)
Pd1 0.000 0.000 0.500
Pd2 0.000 0.500 0.000
Pd3 0.500 0.000 0.000
I1 0.000 0.000 0.000
Br1 0.500 0.500 0.500

***

2:
Density functional theory data (GGA-PBE) for a relaxed structure of Pd3IBr.

Computed properties:
Space-group type = Pm-3m, No. 221
Volume = 118 Å³/f.u.
ρ = 7.41 g/cm³

Cell lengths 4.903, 4.903, 4.903 Å; angles 90.00, 90.00, 90.00 degrees
Element x y z (fractional)
Pd1 0.000 0.000 0.500
Pd2 0.000 0.500 0.000
Pd3 0.500 0.000 0.000
I1 0.500 0.500 0.500
Br1 0.000 0.000 0.000

***

Q: Which of them is the least stable? A: 1.

***

1:
Density functional theory data (GGA-PBE) for a relaxed structure of PdI4Br.

Computed properties:
Space-group type = P1, No. 1
Volume = 294 Å³/f.u.
ρ = 3.92 g/cm³

Cell lengths 3.880, 8.373, 9.074 Å; angles 94.35, 90.82, 90.12 degrees
Element x y z (fractional)
Pd1 0.000 0.000 0.000
I1 0.497 0.794 0.939
I2 0.503 0.206 0.061
I3 0.987 0.817 0.468
I4 0.990 0.154 0.532
Br1 0.988 0.486 0.501

***

2:
Density functional theory data (GGA-PBE) for a relaxed structure of PdI4Br.

Computed properties:
Space-group type = C2/m, No. 12
Volume = 258 Å³/f.u.
ρ = 4.47 g/cm³

Cell lengths 10.925, 10.925, 5.702 Å; angles 96.57, 96.57, 49.79 degrees
Element x y z (fractional)
Pd1 0.066 0.066 0.289
Pd2 0.934 0.934 0.711
I1 0.084 0.676 0.429
I2 0.195 0.805 0.000
I3 0.216 0.216 0.227
I4 0.324 0.916 0.571
I5 0.676 0.084 0.429
I6 0.784 0.784 0.773
I7 0.805 0.195 0.000
I8 0.916 0.324 0.571
Br1 0.322 0.322 0.997
Br2 0.678 0.678 0.003

***

Q: Which of them is the least stable? A: 2.

***

1:
Density functional theory data (GGA-PBE) for a relaxed structure of Pd2IBr.

Computed properties:
Space-group type = Fm-3m, No. 225
Volume = 84 Å³/f.u.
ρ = 8.29 g/cm³

Cell lengths 4.917, 4.917, 4.917 Å; angles 60.00, 60.00, 60.00 degrees
Element x y z (fractional)
Pd1 0.250 0.250 0.250
Pd2 0.750 0.750 0.750
I1 0.000 0.000 0.000
Br1 0.500 0.500 0.500

***

2:
Density functional theory data (GGA-PBE) for a relaxed structure of Pd2IBr.

Computed properties:
Space-group type = I-42d, No. 122
Volume = 112 Å³/f.u.
ρ = 6.21 g/cm³

Cell lengths 7.384, 7.384, 7.384 Å; angles 130.98, 130.98, 71.85 degrees
Element x y z (fractional)
Pd1 0.124 0.625 0.999
Pd2 0.375 0.374 0.499
Pd3 0.626 0.125 0.001
Pd4 0.875 0.876 0.501
I1 0.250 0.750 0.500
I2 0.500 0.500 0.000
Br1 0.000 0.000 0.000
Br2 0.750 0.250 0.500

***

Q: Which of them is the least stable? A: 1.

***

1:
Density functional theory data (GGA-PBE) for a relaxed structure of PdIBr.

Computed properties:
Space-group type = P3m1, No. 156
Volume = 92 Å³/f.u.
ρ = 5.65 g/cm³

Cell lengths 4.020, 4.020, 6.573 Å; angles 90.00, 90.00, 120.00 degrees
Element x y z (fractional)
Pd1 0.000 0.000 0.000
I1 0.667 0.333 0.235
Br1 0.333 0.667 0.780

***

2:
Density functional theory data (GGA-PBE) for a relaxed structure of PdIBr.

Computed properties:
Space-group type = C2/c, No. 15
Volume = 83 Å³/f.u.
ρ = 6.29 g/cm³

Cell lengths 5.973, 5.973, 6.708 Å; angles 123.61, 123.61, 68.85 degrees
Element x y z (fractional)
Pd1 0.000 0.000 0.000
Pd2 0.000 0.000 0.500
I1 0.289 0.711 0.750
I2 0.711 0.289 0.250
Br1 0.000 0.500 0.000
Br2 0.500 0.000 0.500

***

Q: Which of them is the least stable? A: 2.

***

1:
Density functional theory data (GGA-PBE) for a relaxed structure of TePdI2Br.

Computed properties:
Space-group type = P4/mmm, No. 123
Volume = 192 Å³/f.u.
ρ = 4.91 g/cm³

Cell lengths 5.848, 5.848, 5.609 Å; angles 90.00, 90.00, 90.00 degrees
Element x y z (fractional)
Te1 0.000 0.000 0.000
Pd1 0.500 0.500 0.000
I1 0.000 0.500 0.500
I2 0.500 0.000 0.500
Br1 0.000 0.000 0.500

***

2:
Density functional theory data (GGA-PBE) for a relaxed structure of TePdI2Br.

Computed properties:
Space-group type = P4/mmm, No. 123
Volume = 160 Å³/f.u.
ρ = 5.90 g/cm³

Cell lengths 5.482, 5.482, 5.316 Å; angles 90.00, 90.00, 90.00 degrees
Element x y z (fractional)
Te1 0.000 0.000 0.000
Pd1 0.000 0.000 0.500
I1 0.000 0.500 0.500
I2 0.500 0.000 0.500
Br1 0.500 0.500 0.000

***

Q: Which of them is the least stable? A: 1.

***

1:
Density functional theory data (GGA-PBE) for a relaxed structure of PmIBr.

Computed properties:
Space-group type = P-1, No. 2
Volume = 117 Å³/f.u.
ρ = 5.00 g/cm³

Cell lengths 4.116, 7.078, 8.766 Å; angles 70.45, 77.05, 89.97 degrees
Element x y z (fractional)
Pm1 0.250 0.246 0.499
Pm2 0.750 0.754 0.501
I1 0.124 0.806 0.763
I2 0.876 0.194 0.237
Br1 0.356 0.675 0.278
Br2 0.644 0.325 0.722

***

2:
Density functional theory data (GGA-PBE) for a relaxed structure of PmIBr.

Computed properties:
Space-group type = P3m1, No. 156
Volume = 115 Å³/f.u.
ρ = 5.09 g/cm³

Cell lengths 4.104, 4.104, 7.875 Å; angles 90.00, 90.00, 120.00 degrees
Element x y z (fractional)
Pm1 0.000 0.000 0.000
I1 0.333 0.667 0.737
Br1 0.667 0.333 0.232

***

3:
Density functional theory data (GGA-PBE) for a relaxed structure of PmIBr.

Computed properties:
Space-group type = F-43m, No. 216
Volume = 104 Å³/f.u.
ρ = 5.60 g/cm³

Cell lengths 5.285, 5.285, 5.285 Å; angles 60.00, 60.00, 60.00 degrees
Element x y z (fractional)
Pm1 0.000 0.000 0.000
I1 0.750 0.750 0.750
Br1 0.250 0.250 0.250

***

4:
Density functional theory data (GGA-PBE) for a relaxed structure of PmIBr.

Computed properties:
Space-group type = I4_1md, No. 109
Volume = 107 Å³/f.u.
ρ = 5.44 g/cm³

Cell lengths 7.251, 7.251, 7.251 Å; angles 130.62, 130.62, 72.42 degrees
Element x y z (fractional)
Pm1 0.000 0.000 0.000
Pm2 0.750 0.250 0.500
I1 0.477 0.977 0.500
I2 0.727 0.727 0.000
Br1 0.005 0.505 0.500
Br2 0.255 0.255 0.000

***

Q: Which of them is the least stable? A: 3.